Density functional theory data (PBE-GGA) for crystalline Ba2Al2Zn15 at its relaxed geometry.

Values from the calculation:
The value obtained for the total energy is -1.7515 eV per atom. Its space group is R-3m, No. 166. The calculation puts the calculated volume at 346.22 Å³ per cell. The calculation puts the calculated formation energy at -0.15 eV per atom.

The structure in POSCAR format:
```
Ba2Al2Zn15
1.0
4.688 2.706 4.549
-4.688 2.706 4.549
0.000 -5.413 4.549
Ba Al Zn
2 2 15
Cartesian
0.000 0.000 2.197
0.000 0.000 11.449
0.000 0.000 5.493
0.000 0.000 8.152
-2.344 -1.353 4.549
0.000 -2.727 4.415
-2.361 1.363 4.415
-1.350 -2.338 6.823
-2.700 0.000 6.823
-2.361 -1.363 9.231
-2.344 1.353 9.097
1.350 -2.338 6.823
0.000 2.706 4.549
-1.350 2.338 6.823
2.361 1.363 4.415
2.700 0.000 6.823
1.350 2.338 6.823
2.361 -1.363 9.231
0.000 2.727 9.231
```

Density functional theory data (PBE-GGA) for crystalline BaAlZn2 at its relaxed geometry.

Values from the calculation:
The value obtained for the total energy is -2.1235 eV per atom. Its space group is Pm, No. 6. The calculation puts the calculated volume at 114.73 Å³ per cell. The calculation puts the calculated formation energy at -0.07 eV per atom.

The structure in POSCAR format:
```
BaAlZn2
1.0
4.864 0.000 0.000
0.000 4.472 0.000
-0.671 0.000 5.275
Ba Al Zn
1 1 2
Cartesian
0.000 0.000 0.000
3.169 2.236 2.281
0.739 2.236 2.913
1.999 0.000 2.695
```

Density functional theory data (PBE-GGA) for crystalline BaAl2Zn at its relaxed geometry.

Values from the calculation:
The value obtained for the total energy is -2.6905 eV per atom. Its space group is P2/m, No. 10. The calculation puts the calculated volume at 103.74 Å³ per cell. The calculation puts the calculated formation energy at -0.02 eV per atom.

The structure in POSCAR format:
```
BaAl2Zn
1.0
3.506 0.000 0.000
0.000 4.332 0.000
-1.631 0.000 6.831
Ba Al Zn
1 2 1
Cartesian
0.000 0.000 0.000
0.059 2.166 4.538
1.816 2.166 2.294
0.937 0.000 3.416
```

Density functional theory data (PBE-GGA) for crystalline BaAlZn2 at its relaxed geometry.

Values from the calculation:
The value obtained for the total energy is -2.1122 eV per atom. Its space group is Cmmm, No. 65. The calculation puts the calculated volume at 118.09 Å³ per cell. The calculation puts the calculated formation energy at -0.06 eV per atom.

The structure in POSCAR format:
```
BaAlZn2
1.0
2.560 -4.325 0.000
2.560 4.325 0.000
0.000 0.000 5.332
Ba Al Zn
1 1 2
Cartesian
0.000 0.000 0.000
2.560 0.000 2.666
1.280 2.163 2.666
1.280 -2.163 2.666
```